No. 1
Entry from Alexandria via LeMat-Bulk: CaBeHg2Br at its PBEsol-relaxed geometry (meta-GGA SCAN).

The space group is P4/mmm (No. 123) and the conventional cell measures 6.0294, 6.0294 and 4.1342 Å, with angles of 90.00, 90.00 and 90.00 degrees. The distinct sites, in fractional coordinates, are Ca at (0.0000, 0.0000, 0.0000), Be at (0.5000, 0.5000, 0.0000), Hg at (0.0000, 0.5000, 0.5000) and Br at (0.5000, 0.5000, 0.5000).

The raw total energy comes out at -168.111 eV per cell. The formation energy (no corrections) is 340 meV/atom. Its mass density is 5.858 g cm⁻³. Its volume is 30.06 A^3/atom. The spin magnetization is 0.0 μB/cell.

No. 2
Entry from Alexandria via LeMat-Bulk: Al3PdO at its PBEsol-relaxed geometry (meta-GGA SCAN).

The space group is Pm-3m (No. 221) and the conventional cell measures 3.9946, 3.9946 and 3.9946 Å, with angles of 90.00, 90.00 and 90.00 degrees. The distinct sites, in fractional coordinates, are Al at (0.0000, 0.0000, 0.5000), Pd at (0.5000, 0.5000, 0.5000) and O at (0.0000, 0.0000, 0.0000).

The raw total energy comes out at -66.193 eV per cell. The formation energy (no corrections) is -786 meV/atom. Its mass density is 5.298 g cm⁻³. Its volume is 12.75 A^3/atom. The spin magnetization is 0.0 μB/cell.

No. 3
Entry from Alexandria via LeMat-Bulk: Sr2InGa2 at its PBEsol-relaxed geometry (meta-GGA SCAN).

The space group is P4/mbm (No. 127) and the conventional cell measures 7.3874, 7.3874 and 4.9758 Å, with angles of 90.00, 90.00 and 90.00 degrees. The distinct sites, in fractional coordinates, are Sr at (0.1810, 0.3190, 0.0000), In at (0.0000, 0.0000, 0.5000) and Ga at (0.1221, 0.6221, 0.5000).

The raw total energy comes out at -225.827 eV per cell. Its mass density is 5.253 g cm⁻³. Its volume is 27.15 A^3/atom. The formation energy is -457 meV per atom. The spin magnetization is 0.0 μB/cell.

Which value of mass density does entry 1 give?
5.858 g cm⁻³

Which value of raw total energy does entry 2 give?
-66.193 eV per cell

Among the records above, which one has the highest mass density?
CaBeHg2Br

The highest raw total energy belongs to which entry?
Al3PdO